Cd2TcRh (PBE-GGA, optimized geometry); total magnetic moment = 0.00 μB/cell; energy relative to the elements = 0.218 eV per atom; space-group type = Cm, No. 8
1.0
4.665 -1.430 0.000
4.665 1.430 0.000
-0.805 0.000 5.112
Cd Tc Rh
2 1 1
direct
0.000 0.000 0.000
0.241 0.241 0.756
0.754 0.754 0.283
0.489 0.489 0.469